*P*
Compound: AlNi2S
Source: Alexandria via LeMat-Bulk
Functional: PBE
Structure: relaxed

abc: 5.829 5.829 5.829
angles: 90.00 90.00 90.00
Sites, in units of the cell vectors:
Al: 0.000 0.000 0.000
Al: 0.000 0.500 0.500
Al: 0.500 0.000 0.500
Al: 0.500 0.500 0.000
Ni: 0.250 0.250 0.250
Ni: 0.250 0.250 0.750
Ni: 0.250 0.750 0.250
Ni: 0.250 0.750 0.750
Ni: 0.750 0.250 0.250
Ni: 0.750 0.250 0.750
Ni: 0.750 0.750 0.250
Ni: 0.750 0.750 0.750
S: 0.000 0.000 0.500
S: 0.000 0.500 0.000
S: 0.500 0.000 0.000
S: 0.500 0.500 0.500



*Q*
Compound: AlNi2S
Source: Alexandria via LeMat-Bulk
Functional: PBE
Structure: relaxed

abc: 3.831 3.831 14.915
angles: 90.00 90.00 90.00
Sites, in units of the cell vectors:
Al: 0.000 0.000 0.000
Al: 0.000 0.500 0.250
Al: 0.500 0.000 0.750
Al: 0.500 0.500 0.500
Ni: 0.213 0.250 0.625
Ni: 0.250 0.713 0.875
Ni: 0.250 0.787 0.375
Ni: 0.287 0.250 0.125
Ni: 0.713 0.750 0.125
Ni: 0.750 0.213 0.375
Ni: 0.750 0.287 0.875
Ni: 0.787 0.750 0.625
S: 0.000 0.000 0.500
S: 0.000 0.500 0.750
S: 0.500 0.000 0.250
S: 0.500 0.500 0.000



In meV/atom, relative to the most stable structure: *P* 107; *Q* 0.



*P*
Compound: AlNi3Sb
Source: Alexandria via LeMat-Bulk
Functional: PBE
Structure: relaxed

abc: 4.337 4.337 4.337
angles: 90.00 90.00 90.00
Sites, in units of the cell vectors:
Al: 0.000 0.000 0.000
Ni: 0.000 0.000 0.500
Ni: 0.000 0.500 0.000
Ni: 0.500 0.000 0.000
Sb: 0.500 0.500 0.500



*Q*
Compound: AlNi3Sb
Source: Alexandria via LeMat-Bulk
Functional: PBE
Structure: relaxed

abc: 4.127 4.127 4.959
angles: 90.00 90.00 120.00
Sites, in units of the cell vectors:
Al: 0.000 0.000 0.000
Ni: 0.000 0.000 0.500
Ni: 0.333 0.667 0.243
Ni: 0.333 0.667 0.757
Sb: 0.667 0.333 0.500



In meV/atom, relative to the most stable structure: *P* 665; *Q* 0.



*P*
Compound: AlNi4Sb
Source: Alexandria via LeMat-Bulk
Functional: PBE
Structure: relaxed

abc: 5.335 7.079 4.562
angles: 90.00 112.35 90.00
Sites, in units of the cell vectors:
Al: 0.000 0.000 0.000
Al: 0.000 0.500 0.500
Ni: 0.110 0.163 0.580
Ni: 0.110 0.337 0.080
Ni: 0.358 0.658 0.416
Ni: 0.358 0.842 0.916
Ni: 0.642 0.158 0.084
Ni: 0.642 0.342 0.584
Ni: 0.890 0.663 0.920
Ni: 0.890 0.837 0.420
Sb: 0.500 0.000 0.500
Sb: 0.500 0.500 0.000



*Q*
Compound: AlNi4Sb
Source: Alexandria via LeMat-Bulk
Functional: PBE
Structure: relaxed

abc: 4.827 4.827 4.827
angles: 60.00 60.00 60.00
Sites, in units of the cell vectors:
Al: 0.000 0.000 0.000
Ni: 0.374 0.374 0.374
Ni: 0.374 0.374 0.877
Ni: 0.374 0.877 0.374
Ni: 0.877 0.374 0.374
Sb: 0.750 0.750 0.750



In meV/atom, relative to the most stable structure: *P* 0; *Q* 68.



*P*
Compound: Al2Ni2Sb
Source: Alexandria via LeMat-Bulk
Functional: PBE
Structure: relaxed

abc: 3.820 3.820 11.192
angles: 90.00 90.00 90.00
Sites, in units of the cell vectors:
Al: 0.000 0.000 0.120
Al: 0.000 0.000 0.880
Al: 0.500 0.500 0.380
Al: 0.500 0.500 0.620
Ni: 0.000 0.500 0.250
Ni: 0.000 0.500 0.750
Ni: 0.500 0.000 0.250
Ni: 0.500 0.000 0.750
Sb: 0.000 0.000 0.500
Sb: 0.500 0.500 0.000



*Q*
Compound: Al2Ni2Sb
Source: Alexandria via LeMat-Bulk
Functional: PBE
Structure: relaxed

abc: 7.460 7.460 2.782
angles: 90.00 90.00 90.00
Sites, in units of the cell vectors:
Al: 0.132 0.368 0.000
Al: 0.368 0.868 0.000
Al: 0.632 0.132 0.000
Al: 0.868 0.632 0.000
Ni: 0.154 0.654 0.500
Ni: 0.346 0.154 0.500
Ni: 0.654 0.846 0.500
Ni: 0.846 0.346 0.500
Sb: 0.000 0.000 0.000
Sb: 0.500 0.500 0.000



In meV/atom, relative to the most stable structure: *P* 86; *Q* 0.



*P*
Compound: Al3NiSb
Source: Alexandria via LeMat-Bulk
Functional: PBE
Structure: relaxed

abc: 4.586 4.586 4.586
angles: 90.00 90.00 90.00
Sites, in units of the cell vectors:
Al: 0.000 0.000 0.500
Al: 0.000 0.500 0.000
Al: 0.500 0.000 0.000
Ni: 0.000 0.000 0.000
Sb: 0.500 0.500 0.500



*Q*
Compound: Al3NiSb
Source: Alexandria via LeMat-Bulk
Functional: PBE
Structure: relaxed

abc: 5.214 5.214 5.214
angles: 90.00 90.00 90.00
Sites, in units of the cell vectors:
Al: 0.000 0.000 0.500
Al: 0.000 0.500 0.000
Al: 0.500 0.000 0.000
Ni: 0.500 0.500 0.500
Sb: 0.000 0.000 0.000



In meV/atom, relative to the most stable structure: *P* 0; *Q* 1324.



*P*
Compound: ScAlNi3
Source: Alexandria via LeMat-Bulk
Functional: PBE
Structure: relaxed

abc: 7.168 7.168 4.515
angles: 90.00 90.00 141.29
Sites, in units of the cell vectors:
Sc: 0.198 0.802 0.750
Sc: 0.802 0.198 0.250
Al: 0.439 0.561 0.250
Al: 0.561 0.439 0.750
Ni: 0.000 0.000 0.000
Ni: 0.000 0.000 0.500
Ni: 0.140 0.387 0.750
Ni: 0.387 0.140 0.250
Ni: 0.613 0.860 0.750
Ni: 0.860 0.613 0.250



*Q*
Compound: ScAlNi3
Source: Alexandria via LeMat-Bulk
Functional: PBE
Structure: relaxed

abc: 4.292 4.292 4.292
angles: 90.00 90.00 90.00
Sites, in units of the cell vectors:
Sc: 0.000 0.000 0.000
Al: 0.500 0.500 0.500
Ni: 0.000 0.500 0.500
Ni: 0.500 0.000 0.500
Ni: 0.500 0.500 0.000



*R*
Compound: ScAlNi3
Source: Alexandria via LeMat-Bulk
Functional: PBE
Structure: relaxed

abc: 4.396 4.396 4.396
angles: 90.00 90.00 90.00
Sites, in units of the cell vectors:
Sc: 0.000 0.000 0.000
Al: 0.500 0.500 0.500
Ni: 0.000 0.000 0.500
Ni: 0.000 0.500 0.000
Ni: 0.500 0.000 0.000



In meV/atom, relative to the most stable structure: *P* 0; *Q* 495; *R* 1219.



*P*
Compound: Sc4AlNi
Source: Alexandria via LeMat-Bulk
Functional: PBE
Structure: relaxed

abc: 8.837 8.837 8.837
angles: 60.00 60.00 60.00
Sites, in units of the cell vectors:
Sc: 0.187 0.187 0.813
Sc: 0.187 0.813 0.187
Sc: 0.187 0.813 0.813
Sc: 0.398 0.398 0.398
Sc: 0.398 0.398 0.807
Sc: 0.398 0.807 0.398
Sc: 0.560 0.560 0.940
Sc: 0.560 0.940 0.560
Sc: 0.560 0.940 0.940
Sc: 0.807 0.398 0.398
Sc: 0.813 0.187 0.187
Sc: 0.813 0.187 0.813
Sc: 0.813 0.813 0.187
Sc: 0.940 0.560 0.560
Sc: 0.940 0.560 0.940
Sc: 0.940 0.940 0.560
Al: 0.170 0.170 0.170
Al: 0.170 0.170 0.491
Al: 0.170 0.491 0.170
Al: 0.491 0.170 0.170
Ni: 0.181 0.606 0.606
Ni: 0.606 0.181 0.606
Ni: 0.606 0.606 0.181
Ni: 0.606 0.606 0.606



*Q*
Compound: Sc4AlNi
Source: Alexandria via LeMat-Bulk
Functional: PBE
Structure: relaxed

abc: 4.510 4.510 6.724
angles: 90.00 90.00 90.00
Sites, in units of the cell vectors:
Sc: 0.000 0.500 0.228
Sc: 0.000 0.500 0.772
Sc: 0.500 0.000 0.228
Sc: 0.500 0.000 0.772
Al: 0.000 0.000 0.500
Ni: 0.500 0.500 0.000



In meV/atom, relative to the most stable structure: *P* 0; *Q* 292.



*P*
Compound: AlSiNi4
Source: Alexandria via LeMat-Bulk
Functional: PBE
Structure: relaxed

abc: 8.534 8.534 4.927
angles: 90.00 90.00 156.47
Sites, in units of the cell vectors:
Al: 0.226 0.774 0.750
Al: 0.774 0.226 0.250
Si: 0.077 0.923 0.250
Si: 0.923 0.077 0.750
Ni: 0.074 0.926 0.750
Ni: 0.352 0.648 0.503
Ni: 0.352 0.648 0.997
Ni: 0.500 0.500 0.000
Ni: 0.500 0.500 0.500
Ni: 0.648 0.352 0.003
Ni: 0.648 0.352 0.497
Ni: 0.926 0.074 0.250



*Q*
Compound: AlSiNi4
Source: Alexandria via LeMat-Bulk
Functional: PBE
Structure: relaxed

abc: 4.669 4.669 4.669
angles: 60.00 60.00 60.00
Sites, in units of the cell vectors:
Al: 0.000 0.000 0.000
Si: 0.250 0.250 0.250
Ni: 0.125 0.625 0.625
Ni: 0.625 0.125 0.625
Ni: 0.625 0.625 0.125
Ni: 0.625 0.625 0.625



*R*
Compound: AlSiNi4
Source: Alexandria via LeMat-Bulk
Functional: PBE
Structure: relaxed

abc: 8.140 8.140 5.013
angles: 90.00 90.00 154.54
Sites, in units of the cell vectors:
Al: 0.081 0.919 0.750
Al: 0.919 0.081 0.250
Si: 0.221 0.779 0.250
Si: 0.779 0.221 0.750
Ni: 0.078 0.922 0.250
Ni: 0.340 0.660 0.504
Ni: 0.340 0.660 0.996
Ni: 0.500 0.500 0.000
Ni: 0.500 0.500 0.500
Ni: 0.660 0.340 0.004
Ni: 0.660 0.340 0.496
Ni: 0.922 0.078 0.750



In meV/atom, relative to the most stable structure: *P* 39; *Q* 325; *R* 0.